## PrGaCu2Pb (PBE)

Data for a relaxed PrGaCu2Pb crystal.

a = 4.4025 Å, b = 4.4025 Å, c = 10.5351 Å
α = 90.00°, β = 90.00°, γ = 90.00°
With the nearest neighbours (Å) after each atom.
Atoms (fractional coordinates):
Cu 0.0000 0.0000 0.0000  4 Pb 2.67
Cu 0.5000 0.5000 0.0000  4 Pb 2.67
Cu 0.5000 0.0000 0.3909  4 Ga 2.48, 1 Pb 2.61
Cu 0.0000 0.5000 0.6091  4 Ga 2.48, 1 Pb 2.61
Ga 0.0000 0.0000 0.5000  4 Cu 2.48
Ga 0.5000 0.5000 0.5000  4 Cu 2.48
Pb 0.5000 0.0000 0.1431  5 Cu 2.61-2.67
Pb 0.0000 0.5000 0.8569  5 Cu 2.61-2.67
Pr 0.0000 0.5000 0.2641  4 Ga 3.32, 4 Pb 3.36, 9 Cu 3.39-3.63
Pr 0.5000 0.0000 0.7359  4 Ga 3.32, 4 Pb 3.36, 9 Cu 3.39-3.63

**Spin magnetization**: 0.002 μB/f.u.
**Space-group type**: P4/nmm (129)
**Calculated total energy**: -0.3011 Ry per atom